No. 1
# ErThZnIn, optimized geometry, DFT PBE-GGA
data_ErThZnIn
_chemical_formula_sum 'Er1 Th1 Zn1 In1'
_cell_length_a 5.264
_cell_length_b 5.264
_cell_length_c 5.264
_cell_angle_alpha 60.00
_cell_angle_beta 60.00
_cell_angle_gamma 60.00
_space_group_name_H-M_alt 'P 1'
_space_group_IT_number 1
_space_group_name_Hall 'P 1'
loop_
_atom_site_label
_atom_site_type_symbol
_atom_site_fract_x
_atom_site_fract_y
_atom_site_fract_z
Er1 Er 0.000 0.000 0.000
Th1 Th 0.500 0.500 0.500
Zn1 Zn 0.250 0.250 0.250
In1 In 0.750 0.750 0.750
# * space group: F-43m, No. 216
# * energy relative to the elements: -0.278 eV/atom



No. 2
# Er6TiIn5, optimized geometry, DFT PBE-GGA
data_Er6TiIn5
_chemical_formula_sum 'Er6 Ti1 In5'
_cell_length_a 9.129
_cell_length_b 9.129
_cell_length_c 9.129
_cell_angle_alpha 146.38
_cell_angle_beta 132.50
_cell_angle_gamma 59.45
_space_group_name_H-M_alt 'P 1'
_space_group_IT_number 1
_space_group_name_Hall 'P 1'
loop_
_atom_site_label
_atom_site_type_symbol
_atom_site_fract_x
_atom_site_fract_y
_atom_site_fract_z
Er1 Er 0.083 0.834 0.249
Er2 Er 0.250 0.500 0.750
Er3 Er 0.415 0.166 0.249
Er4 Er 0.585 0.834 0.751
Er5 Er 0.750 0.500 0.250
Er6 Er 0.917 0.166 0.751
Ti1 Ti 0.000 0.000 0.000
In1 In 0.159 0.659 0.500
In2 In 0.333 0.333 0.000
In3 In 0.500 0.000 0.500
In4 In 0.667 0.667 0.000
In5 In 0.841 0.341 0.500
# * space group: Immm, No. 71
# * energy relative to the elements: -0.363 eV/atom



No. 3
# ErTiIn, optimized geometry, DFT PBE-GGA
data_ErTiIn
_chemical_formula_sum 'Er1 Ti1 In1'
_cell_length_a 5.060
_cell_length_b 5.060
_cell_length_c 3.083
_cell_angle_alpha 90.00
_cell_angle_beta 90.00
_cell_angle_gamma 120.00
_space_group_name_H-M_alt 'P 1'
_space_group_IT_number 1
_space_group_name_Hall 'P 1'
loop_
_atom_site_label
_atom_site_type_symbol
_atom_site_fract_x
_atom_site_fract_y
_atom_site_fract_z
Er1 Er 0.000 0.000 0.000
Ti1 Ti 0.667 0.333 0.000
In1 In 0.333 0.667 0.500
# * space group: P-6m2, No. 187
# * energy relative to the elements: 0.062 eV/atom
# * energy above the most stable polymorph in this dataset: 0.2538 eV per atom



> Among the records above, which one has the lowest energy relative to the elements?

Er6TiIn5